## Co3CuO (PBE+U)

Data for a relaxed Co3CuO crystal.

Computed properties:
**D(E_F)**: 2.14 states/eV per cell
**Relative energy among the computed polymorphs**: 5.78 eV/f.u.
**ρ**: 4.95 g cm⁻³

Lattice parameters (Å, degrees): 4.4152 4.4152 4.4152 90.00 90.00 90.00
Space group Pm-3m (No. 221)
Asymmetric unit:
Co  0.0000  0.0000  0.5000 (multiplicity 3)
Cu  0.0000  0.0000  0.0000 (multiplicity 1)
O  0.5000  0.5000  0.5000 (multiplicity 1)